The following is a PBE calculation of a relaxed structure of U2Cl13, from Alexandria via LeMat-Bulk.

Properties
DFT total energy: -66.66 eV/f.u.
formation energy without anion corrections: -1338 meV/atom
calculated density: 2.57 g/cm3

Unit cell a=7.4992 b=8.8019 c=10.2844 alpha=70.55 beta=77.75 gamma=72.65
Fractional positions:
U (0.1496, 0.1273, 0.2359)
U (0.8504, 0.8727, 0.7641)
Cl (0.0000, 0.0000, 0.5000)
Cl (0.1346, 0.8765, 0.1852)
Cl (0.1556, 0.3719, 0.3001)
Cl (0.1752, 0.7348, 0.8237)
Cl (0.2855, 0.2424, 0.9951)
Cl (0.4211, 0.5430, 0.5778)
Cl (0.4651, 0.9842, 0.3087)
Cl (0.5349, 0.0158, 0.6913)
Cl (0.5789, 0.4570, 0.4222)
Cl (0.7145, 0.7576, 0.0049)
Cl (0.8248, 0.2652, 0.1763)
Cl (0.8444, 0.6281, 0.6999)
Cl (0.8654, 0.1235, 0.8148)


The following is a PBE calculation of a relaxed structure of Ac3InI3, from Alexandria via LeMat-Bulk.

Properties
DFT total energy: -26.86 eV/f.u.
formation energy without anion corrections: -1020 meV/atom
calculated density: 6.32 g/cm3

Unit cell a=11.7089 b=11.7089 c=11.7089 alpha=109.47 beta=109.47 gamma=109.47
Fractional positions:
Ac (0.0094, 0.0188, 0.2594)
Ac (0.0094, 0.4906, 0.7500)
Ac (0.0188, 0.2594, 0.0094)
Ac (0.2406, 0.2594, 0.7500)
Ac (0.2406, 0.4812, 0.4906)
Ac (0.2594, 0.0094, 0.0188)
Ac (0.2594, 0.7500, 0.2406)
Ac (0.4812, 0.4906, 0.2406)
Ac (0.4906, 0.2406, 0.4812)
Ac (0.4906, 0.7500, 0.0094)
Ac (0.7500, 0.0094, 0.4906)
Ac (0.7500, 0.2406, 0.2594)
In (0.0000, 0.2500, 0.5000)
In (0.2500, 0.2500, 0.2500)
In (0.2500, 0.5000, 0.0000)
In (0.5000, 0.0000, 0.2500)
I (0.2500, 0.7564, 0.7436)
I (0.2500, 0.9936, 0.5064)
I (0.5064, 0.2500, 0.9936)
I (0.5064, 0.7564, 0.5127)
I (0.5127, 0.5064, 0.7564)
I (0.7436, 0.2500, 0.7564)
I (0.7436, 0.9936, 0.9873)
I (0.7564, 0.5127, 0.5064)
I (0.7564, 0.7436, 0.2500)
I (0.9873, 0.7436, 0.9936)
I (0.9936, 0.5064, 0.2500)
I (0.9936, 0.9873, 0.7436)


The following is a PBE calculation of a relaxed structure of Ac8In2Pd, from Alexandria via LeMat-Bulk.

Properties
DFT total energy: -46.46 eV/f.u.
calculated density: 8.51 g/cm3
formation energy: -0.266 eV/atom

Unit cell a=10.5179 b=10.5179 c=7.5566 alpha=100.05 beta=100.05 gamma=30.72
Fractional positions:
Ac (0.0168, 0.0168, 0.2725)
Ac (0.2095, 0.2095, 0.8069)
Ac (0.3528, 0.3528, 0.5209)
Ac (0.4074, 0.4074, 0.0377)
Ac (0.5926, 0.5926, 0.9623)
Ac (0.6472, 0.6472, 0.4791)
Ac (0.7905, 0.7905, 0.1931)
Ac (0.9832, 0.9832, 0.7275)
In (0.1880, 0.1880, 0.2529)
In (0.8120, 0.8120, 0.7471)
Pd (0.5000, 0.5000, 0.5000)


The following is a PBE calculation of a relaxed structure of TcMo2As, from Alexandria via LeMat-Bulk.

Properties
DFT total energy: -35.52 eV/f.u.
calculated density: 9.68 g/cm3
formation energy: 0.290 eV/atom

Unit cell a=2.8190 b=2.8190 c=8.3349 alpha=90.00 beta=90.00 gamma=109.12
Fractional positions:
Tc (0.0000, 0.0000, 0.0000)
Mo (0.5000, 0.5000, 0.2516)
Mo (0.5000, 0.5000, 0.7484)
As (0.0000, 0.0000, 0.5000)


The following is a PBE calculation of a relaxed structure of CdIr3F, from Alexandria via LeMat-Bulk.

Properties
DFT total energy: -17.19 eV/f.u.
energy above the lowest structure with this stoichiometry: 1268.3 meV per atom
formation energy without anion corrections: 2436 meV/atom
calculated density: 9.53 g/cm3

Unit cell a=4.9779 b=4.9779 c=4.9779 alpha=90.00 beta=90.00 gamma=90.00
Fractional positions:
Cd (0.0000, 0.0000, 0.0000)
Ir (0.0000, 0.0000, 0.5000)
Ir (0.0000, 0.5000, 0.0000)
Ir (0.5000, 0.0000, 0.0000)
F (0.5000, 0.5000, 0.5000)


The following is a PBE calculation of a relaxed structure of Tb5DyEr2, from Alexandria via LeMat-Bulk.

Properties
DFT total energy: -36.76 eV/f.u.
energy above the lowest structure with this stoichiometry: 0.0 meV per atom
calculated density: 8.56 g/cm3
formation energy: 0.015 eV/atom

Unit cell a=7.0795 b=14.1593 c=4.9970 alpha=90.00 beta=90.00 gamma=90.00
Fractional positions:
Tb (0.0000, 0.0000, 0.0000)
Tb (0.9998, 0.2501, 0.0000)
Tb (0.0002, 0.7499, 0.0000)
Tb (0.2499, 0.1249, 0.5000)
Tb (0.2501, 0.6249, 0.5000)
Tb (0.4998, 0.2499, 0.0000)
Tb (0.5000, 0.5000, 0.0000)
Tb (0.5002, 0.7501, 0.0000)
Tb (0.7499, 0.3751, 0.5000)
Tb (0.7501, 0.8751, 0.5000)
Dy (0.0000, 0.5000, 0.0000)
Dy (0.5000, 0.0000, 0.0000)
Er (0.2499, 0.3751, 0.5000)
Er (0.2501, 0.8751, 0.5000)
Er (0.7499, 0.1249, 0.5000)
Er (0.7501, 0.6249, 0.5000)


The following is a PBE calculation of a relaxed structure of Ta3InS, from Alexandria via LeMat-Bulk.

Properties
DFT total energy: -30.25 eV/f.u.
energy above the lowest structure with this stoichiometry: 2134.5 meV per atom
formation energy without anion corrections: 2435 meV/atom
calculated density: 8.99 g/cm3

Unit cell a=5.0323 b=5.0323 c=5.0323 alpha=90.00 beta=90.00 gamma=90.00
Fractional positions:
Ta (0.0000, 0.0000, 0.5000)
Ta (0.0000, 0.5000, 0.0000)
Ta (0.5000, 0.0000, 0.0000)
In (0.0000, 0.0000, 0.0000)
S (0.5000, 0.5000, 0.5000)


The following is a PBE calculation of a relaxed structure of MgTa2Ni, from Alexandria via LeMat-Bulk.

Properties
DFT total energy: -30.21 eV/f.u.
calculated density: 11.15 g/cm3
formation energy: 0.218 eV/atom

Unit cell a=5.4367 b=5.4367 c=2.7512 alpha=98.96 beta=98.96 gamma=120.83
Fractional positions:
Mg (0.0000, 0.0000, 0.0000)
Ta (0.0000, 0.5000, 0.5000)
Ta (0.5000, 0.0000, 0.5000)
Ni (0.5000, 0.5000, 0.0000)


The following is a PBE calculation of a relaxed structure of Cs3HgCl, from Alexandria via LeMat-Bulk.

Properties
DFT total energy: -8.76 eV/f.u.
energy above the lowest structure with this stoichiometry: 0.0 meV per atom
formation energy without anion corrections: -810 meV/atom
calculated density: 3.66 g/cm3

Unit cell a=11.2130 b=4.8816 c=11.4399 alpha=90.00 beta=113.16 gamma=90.00
Fractional positions:
Cs (0.1168, 0.2500, 0.3792)
Cs (0.2146, 0.7500, 0.0150)
Cs (0.3803, 0.7500, 0.7268)
Cs (0.6197, 0.2500, 0.2732)
Cs (0.7854, 0.2500, 0.9850)
Cs (0.8832, 0.7500, 0.6208)
Hg (0.4362, 0.7500, 0.4129)
Hg (0.5638, 0.2500, 0.5871)
Cl (0.1348, 0.2500, 0.7029)
Cl (0.8652, 0.7500, 0.2971)


The following is a PBE calculation of a relaxed structure of Ac2SnPb2, from Alexandria via LeMat-Bulk.

Properties
DFT total energy: -22.29 eV/f.u.
energy above the lowest structure with this stoichiometry: 0.0 meV per atom
calculated density: 9.34 g/cm3
formation energy: -0.530 eV/atom

Unit cell a=6.6112 b=6.6112 c=6.6112 alpha=137.65 beta=110.64 gamma=84.75
Fractional positions:
Ac (0.2235, 0.2235, 0.0000)
Ac (0.7765, 0.7765, 0.0000)
Sn (0.5000, 0.0000, 0.5000)
Pb (0.2077, 0.5000, 0.7077)
Pb (0.7923, 0.5000, 0.2923)


The following is a PBE calculation of a relaxed structure of SrZnHgBr4, from Alexandria via LeMat-Bulk.

Properties
DFT total energy: -18.48 eV/f.u.
formation energy without anion corrections: -1219 meV/atom
calculated density: 4.01 g/cm3

Unit cell a=9.0873 b=9.0873 c=8.8020 alpha=99.82 beta=99.82 gamma=51.38
Fractional positions:
Sr (0.1949, 0.1949, 0.3381)
Sr (0.8051, 0.8051, 0.6619)
Zn (0.1315, 0.1315, 0.7679)
Zn (0.8685, 0.8685, 0.2321)
Hg (0.4299, 0.4299, 0.8238)
Hg (0.5701, 0.5701, 0.1762)
Br (0.0124, 0.0124, 0.2115)
Br (0.0869, 0.6017, 0.4009)
Br (0.2286, 0.2286, 0.0077)
Br (0.3983, 0.9131, 0.5991)
Br (0.6017, 0.0869, 0.4009)
Br (0.7714, 0.7714, 0.9923)
Br (0.9131, 0.3983, 0.5991)
Br (0.9876, 0.9876, 0.7885)


The following is a PBE calculation of a relaxed structure of UH12Cl3O6, from Alexandria via LeMat-Bulk.

Properties
DFT total energy: -112.78 eV/f.u.
calculated density: 2.84 g/cm3

Unit cell a=8.0323 b=6.7283 c=12.3318 alpha=90.00 beta=127.38 gamma=90.00
Fractional positions:
U (0.0000, 0.1538, 0.2500)
U (0.0000, 0.8462, 0.7500)
H (0.0248, 0.4412, 0.8811)
H (0.0248, 0.5588, 0.3811)
H (0.2052, 0.4855, 0.1853)
H (0.2052, 0.5145, 0.6853)
H (0.2405, 0.1000, 0.1240)
H (0.2405, 0.9000, 0.6240)
H (0.3255, 0.0769, 0.7287)
H (0.3255, 0.9231, 0.2287)
H (0.3769, 0.3207, 0.5386)
H (0.3769, 0.6793, 0.0386)
H (0.4780, 0.2504, 0.4694)
H (0.4780, 0.7496, 0.9694)
H (0.5220, 0.2504, 0.0306)
H (0.5220, 0.7496, 0.5306)
H (0.6231, 0.3207, 0.9614)
H (0.6231, 0.6793, 0.4614)
H (0.6745, 0.0769, 0.7713)
H (0.6745, 0.9231, 0.2713)
H (0.7595, 0.1000, 0.3760)
H (0.7595, 0.9000, 0.8760)
H (0.7948, 0.4855, 0.3147)
H (0.7948, 0.5145, 0.8147)
H (0.9752, 0.4412, 0.6189)
H (0.9752, 0.5588, 0.1189)
Cl (0.2044, 0.1775, 0.9418)
Cl (0.2044, 0.8225, 0.4418)
Cl (0.5000, 0.3540, 0.7500)
Cl (0.5000, 0.6460, 0.2500)
Cl (0.7956, 0.1775, 0.5582)
Cl (0.7956, 0.8225, 0.0582)
O (0.0645, 0.4378, 0.1504)
O (0.0645, 0.5622, 0.6504)
O (0.2548, 0.0532, 0.2058)
O (0.2548, 0.9468, 0.7058)
O (0.3419, 0.2884, 0.4486)
O (0.3419, 0.7116, 0.9486)
O (0.6581, 0.2884, 0.0514)
O (0.6581, 0.7116, 0.5514)
O (0.7452, 0.0532, 0.2942)
O (0.7452, 0.9468, 0.7942)
O (0.9355, 0.4378, 0.3496)
O (0.9355, 0.5622, 0.8496)